No. 1
DFT (GGA-PBE) results for Al3AgS after structural relaxation.

Lattice parameters (Å, degrees): 4.7128 4.7128 4.7128 90.00 90.00 90.00
Closest atoms and distances in Å follow each position.
Atoms (fractional coordinates):
1 S 0.0000 0.0000 0.0000  6 Al 2.36
2 Al 0.0000 0.5000 0.0000  2 S 2.36
3 Al 0.0000 0.0000 0.5000  2 S 2.36
4 Al 0.5000 0.0000 0.0000  2 S 2.36
5 Ag 0.5000 0.5000 0.5000  12 Al 3.33

Density of states at the Fermi level: 1.2 states/eV per cell
Spin magnetization: 0.000 Bohr magnetons per cell
DFT total energy: -3.21 eV per atom
Formation energy (no corrections): 0.43 eV/atom



No. 2
DFT (GGA-PBE) results for KSeN2O after structural relaxation.

Lattice parameters (Å, degrees): 5.3351 5.3351 4.7617 90.00 90.00 90.00
Closest atoms and distances in Å follow each position.
Atoms (fractional coordinates):
1 K 0.0000 0.0000 0.0000  2 O 2.38
2 O 0.0000 0.0000 0.5000  2 K 2.38
3 Se 0.5000 0.5000 0.5000  8 N 3.58, 4 O 3.77
4 N 0.0000 0.5000 0.0000  2 K 2.67
5 N 0.5000 0.0000 0.0000  2 K 2.67

Density of states at the Fermi level: 4.3 states/eV per cell
Spin magnetization: 3.008 Bohr magnetons per cell
DFT total energy: -2.86 eV per atom
Formation energy (no corrections): 2.38 eV/atom



No. 3
DFT (GGA-PBE) results for HOsNO after structural relaxation.

Lattice parameters (Å, degrees): 4.7984 2.7006 7.1248 90.00 128.70 90.00
Closest atoms and distances in Å follow each position.
Atoms (fractional coordinates):
1 H 0.7183 0.0000 0.3950  1 N 1.03
2 H 0.7183 0.5000 0.8950  1 N 1.03
3 Os 0.1967 0.0000 0.9734  3 O 2.00-2.09, 3 N 2.06-2.24
4 Os 0.1967 0.5000 0.4734  3 O 2.00-2.09, 3 N 2.06-2.24
5 N 0.7826 0.0000 0.2818  1 H 1.03
6 N 0.7826 0.5000 0.7818  1 H 1.03
7 O 0.2570 0.0000 0.7197  3 Os 2.00-2.09, 3 H 2.13-2.20
8 O 0.2570 0.5000 0.2197  3 Os 2.00-2.09, 3 H 2.13-2.20

Density of states at the Fermi level: 1.5 states/eV per cell
Spin magnetization: 0.000 Bohr magnetons per cell
DFT total energy: -6.90 eV per atom



What did the first record say?
DFT (GGA-PBE) results for Al3AgS after structural relaxation.

Lattice parameters (Å, degrees): 4.7128 4.7128 4.7128 90.00 90.00 90.00
Closest atoms and distances in Å follow each position.
Atoms (fractional coordinates):
1 S 0.0000 0.0000 0.0000  6 Al 2.36
2 Al 0.0000 0.5000 0.0000  2 S 2.36
3 Al 0.0000 0.0000 0.5000  2 S 2.36
4 Al 0.5000 0.0000 0.0000  2 S 2.36
5 Ag 0.5000 0.5000 0.5000  12 Al 3.33

Density of states at the Fermi level: 1.2 states/eV per cell
Spin magnetization: 0.000 Bohr magnetons per cell
DFT total energy: -3.21 eV per atom
Formation energy (no corrections): 0.43 eV/atom



- Look up the DFT total energy of the second one.
  -2.86 eV per atom